Entry 1:
## ScAgF3 (GGA-PBE)

Data for a relaxed structure of ScAgF3.

Results
The volume is 87.0 Å³/cell. The formation energy (no corrections) comes out at -1345 meV per atom. Its symmetry is Pm-3m, No. 221.

Cell: 4.4303 4.4303 4.4303 Å, 90.00 90.00 90.00°
Atoms (fractional coordinates):
Sc 0.5000 0.5000 0.5000
Ag 0.0000 0.0000 0.0000
F 0.0000 0.5000 0.0000
F 0.0000 0.0000 0.5000
F 0.5000 0.0000 0.0000

***

Entry 2:
## DyCoNi3 (GGA-PBE)

Data for a relaxed structure of DyCoNi3.

Results
The volume is 168.3 Å³/cell. For the energy of formation, the calculation gives 0.275 eV per atom. Its symmetry is Cmcm, No. 63.

Cell: 4.3130 7.2022 7.2022 Å, 131.22 90.00 90.00°
Atoms (fractional coordinates):
Dy 0.7500 0.6070 0.3930
Dy 0.2500 0.3930 0.6070
Co 0.7500 0.8371 0.1629
Co 0.2500 0.1629 0.8371
Ni 0.7500 0.4188 0.9477
Ni 0.7500 0.0523 0.5812
Ni 0.2500 0.9477 0.4188
Ni 0.2500 0.5812 0.0523
Ni 0.0000 0.0000 0.0000
Ni 0.5000 0.0000 0.0000